# TiCo3Cl

An optimized crystal structure of TiCo3Cl (GGA-PBE, the Alexandria database). Values from VASP.

formation energy from raw total energies = 0.66 eV/atom
D(E_F) = 9.4 states/eV per cell

```
&SYSTEM
  ibrav = 0, nat = 5, ntyp = 3
/
ATOMIC_SPECIES
Ti 47.87 Ti.upf
Co 58.93 Co.upf
Cl 35.45 Cl.upf
ATOMIC_POSITIONS angstrom
Ti 0.0000 0.0000 0.0000
Co 0.0000 2.0421 2.0421
Co 2.0421 0.0000 2.0421
Co 2.0421 2.0421 0.0000
Cl 2.0421 2.0421 2.0421
CELL_PARAMETERS angstrom
4.0841 0.0000 0.0000
0.0000 4.0841 0.0000
0.0000 0.0000 4.0841
```